Ca5PaN5 | PBE | optimized geometry

Computed properties:
E = -73.53 eV per cell
V = 186.6 Å³/f.u.
Formation energy without anion corrections = -1127.2 meV/atom

Cell: 4.9208 6.2099 7.0121 Å, 106.92 90.00 113.34°
Fractional positions:
N1 0.8530 0.7060 0.1653
N2 0.8448 0.6896 0.6858
N3 0.5000 0.0000 0.0000
N4 0.1552 0.3104 0.3142
N5 0.1470 0.2940 0.8347
Pa1 0.0000 0.0000 0.0000
Ca1 0.3228 0.6455 0.1437
Ca2 0.6772 0.3545 0.8563
Ca3 0.6910 0.3820 0.3271
Ca4 0.3090 0.6180 0.6729
Ca5 0.0000 0.0000 0.5000